(1)
Material: CrHI2
Method: DFT, PBE
State: relaxed

Cell and atoms, written as POSCAR:
```
CrHI2
1.0
0.000 3.316 3.316
3.316 0.000 3.316
3.316 3.316 0.000
Cr H I
1 1 2
Cartesian
0.000 0.000 0.000
3.316 3.316 3.316
1.658 1.658 1.658
4.973 4.973 4.973
```

## Properties
Theoretical density   6.99 g/cm³
DFT total energy   -3.01 eV/atom
Crystal system   cubic

---

(2)
Material: CrH3I
Method: DFT, PBE
State: relaxed

Cell and atoms, written as POSCAR:
```
CrH3I
1.0
4.244 0.000 0.000
0.000 4.244 0.000
0.000 0.000 4.244
Cr H I
1 3 1
Cartesian
0.000 0.000 0.000
0.000 2.122 2.122
2.122 0.000 2.122
2.122 2.122 0.000
2.122 2.122 2.122
```

## Properties
Theoretical density   3.95 g/cm³
DFT total energy   -2.91 eV/atom
Crystal system   cubic
Offset from the most stable computed form   3.45 eV/f.u.

---

(3)
Material: CrHI3
Method: DFT, PBE
State: relaxed

Cell and atoms, written as POSCAR:
```
CrHI3
1.0
5.540 0.000 0.000
0.000 5.540 0.000
0.000 0.000 5.540
Cr H I
1 1 3
Cartesian
0.000 0.000 0.000
2.770 2.770 2.770
0.000 0.000 2.770
0.000 2.770 0.000
2.770 0.000 0.000
```

## Properties
Theoretical density   4.24 g/cm³
DFT total energy   -3.14 eV/atom
Crystal system   cubic
Offset from the most stable computed form   2.53 eV/f.u.

---

(4)
Material: CrH2I4
Method: DFT, PBE
State: relaxed

Cell and atoms, written as POSCAR:
```
CrH2I4
1.0
7.385 0.000 0.000
0.000 3.899 0.000
-0.902 0.000 7.639
Cr H I
1 2 4
Cartesian
0.000 0.000 0.000
1.851 1.949 2.321
4.632 1.949 5.318
0.595 1.949 6.450
1.840 0.000 2.313
4.644 0.000 5.326
5.888 1.949 1.188
```

## Properties
Theoretical density   4.24 g/cm³
DFT total energy   -3.26 eV/atom
Crystal system   monoclinic